This record from Alexandria via LeMat-Bulk describes a relaxed structure of RbAgPb3. The functional is PBE.

```
10
Lattice="7.1873 0.0000 0.0000 0.0000 6.4177 0.0000 0.0000 0.0000 7.2075" Properties=species:S:1:pos:R:3 pbc="T T T"
Rb 0.0000 1.3103 0.0000
Rb 3.5937 5.1075 3.6037
Ag 0.0000 3.9827 2.1020
Ag 3.5937 2.4351 5.7058
Pb 0.0000 5.2984 4.6279
Pb 1.6350 1.8746 3.5744
Pb 1.9587 4.5431 7.1782
Pb 3.5937 1.1194 1.0242
Pb 5.2286 4.5431 7.1782
Pb 5.5523 1.8746 3.5744
```

Output
E above lowest polymorph	0.110	eV per atom
DOS at the Fermi energy	3.1	states/eV per cell
space group	Pmn2_1

This record from Alexandria via LeMat-Bulk describes a relaxed structure of RbAg2Pb. The functional is PBE.

```
8
Lattice="-2.8144 2.8144 9.7368 2.8144 -2.8144 9.7368 2.8144 2.8144 -9.7368" Properties=species:S:1:pos:R:3 pbc="T T T"
Rb 2.8144 1.4072 2.4342
Rb 0.0000 1.4072 7.3026
Ag 0.0000 0.0000 0.0000
Ag 1.4072 1.4072 -4.8684
Ag 1.4072 -1.4072 4.8684
Ag 0.0000 2.8144 0.0000
Pb 2.8144 -1.4072 7.3026
Pb 0.0000 4.2216 2.4342
```

Output
energy	-19.55	eV per cell
DOS at the Fermi energy	7.0	states/eV per cell
space group	I4_1/amd

This record from Alexandria via LeMat-Bulk describes a relaxed structure of RbAg3Pb. The functional is PBE.

```
5
Lattice="5.7333 0.0000 0.0000 0.0000 5.7333 0.0000 0.0000 0.0000 5.7333" Properties=species:S:1:pos:R:3 pbc="T T T"
Rb 0.0000 0.0000 0.0000
Ag 0.0000 0.0000 2.8667
Ag 0.0000 2.8667 0.0000
Ag 2.8667 0.0000 0.0000
Pb 2.8667 2.8667 2.8667
```

Output
E above lowest polymorph	0.931	eV per atom
DOS at the Fermi energy	2.9	states/eV per cell
space group	Pm-3m

This record from Alexandria via LeMat-Bulk describes a relaxed structure of RbAg2Pb. The functional is PBE.

```
4
Lattice="2.5143 1.4516 6.3943 -2.5143 1.4516 6.3943 0.0000 -2.9033 6.3943" Properties=species:S:1:pos:R:3 pbc="T T T"
Rb 0.0000 0.0000 0.0000
Ag 0.0000 0.0000 3.5230
Ag 0.0000 0.0000 15.6599
Pb 0.0000 0.0000 9.5915
```

Output
energy	-10.33	eV per cell
DOS at the Fermi energy	2.2	states/eV per cell
space group	R-3m